No. 1
Below is a relaxed BeTcGe2 crystal, with properties calculated at the PBE-GGA level.

a = 3.006 Å, b = 3.006 Å, c = 8.396 Å
α = 79.69°, β = 79.69°, γ = 60.00°
Sites, in units of the cell vectors:
Ge: 0.910 0.910 0.271
Ge: 0.090 0.090 0.729
Tc: 0.500 0.500 0.500
Be: 0.000 0.000 0.000

Properties
- calculated volume (Å³ per atom) = 16.076
- crystal system = trigonal
- total magnetization (μB per cell) = 0.0
- DOS at the Fermi energy (states/eV/cell) = 3.62
- total energy (eV/atom) = -5.60


No. 2
Below is a relaxed AgPdPtPb crystal, with properties calculated at the PBE-GGA level.

a = 4.699 Å, b = 4.699 Å, c = 4.699 Å
α = 60.00°, β = 60.00°, γ = 60.00°
Sites, in units of the cell vectors:
Pd: 0.250 0.250 0.250
Pt: 0.750 0.750 0.750
Pb: 0.000 0.000 0.000
Ag: 0.500 0.500 0.500

Properties
- calculated volume (Å³ per atom) = 18.347
- crystal system = cubic
- total magnetization (μB per cell) = 0.0
- DOS at the Fermi energy (states/eV/cell) = 2.63
- total energy (eV/atom) = -4.53


No. 3
Below is a relaxed CdCu2Mo crystal, with properties calculated at the PBE-GGA level.

a = 5.521 Å, b = 5.521 Å, c = 5.521 Å
α = 152.00°, β = 126.34°, γ = 61.60°
Sites, in units of the cell vectors:
Mo: 0.750 0.250 0.500
Cu: 0.507 0.507 0.000
Cu: 0.993 0.993 0.000
Cd: 0.250 0.750 0.500

Properties
- calculated volume (Å³ per atom) = 15.782
- crystal system = orthorhombic
- total magnetization (μB per cell) = 0.0
- DOS at the Fermi energy (states/eV/cell) = 2.68
- total energy (eV/atom) = -4.50


No. 4
Below is a relaxed SrGe2Ru2 crystal, with properties calculated at the PBE-GGA level.

a = 7.604 Å, b = 7.604 Å, c = 2.995 Å
α = 90.00°, β = 90.00°, γ = 90.00°
Sites, in units of the cell vectors:
Ge: 0.649 0.851 0.500
Sr: 0.500 0.500 0.000
Ge: 0.149 0.649 0.500
Sr: 0.000 0.000 0.000
Ge: 0.851 0.351 0.500
Ge: 0.351 0.149 0.500
Ru: 0.362 0.862 0.000
Ru: 0.638 0.138 0.000
Ru: 0.138 0.362 0.000
Ru: 0.862 0.638 0.000

Properties
- calculated volume (Å³ per atom) = 17.316
- crystal system = tetragonal
- total magnetization (μB per cell) = 0.0
- DOS at the Fermi energy (states/eV/cell) = 4.13
- total energy (eV/atom) = -6.01


No. 5
Below is a relaxed MnAlAu5 crystal, with properties calculated at the PBE-GGA level.

a = 4.247 Å, b = 4.247 Å, c = 7.027 Å
α = 90.00°, β = 90.00°, γ = 90.00°
Sites, in units of the cell vectors:
Mn: 0.000 0.000 0.500
Al: 0.500 0.500 0.000
Au: 0.000 0.500 0.783
Au: 0.500 0.000 0.783
Au: 0.500 0.500 0.500
Au: 0.500 0.000 0.217
Au: 0.000 0.500 0.217

Properties
- calculated volume (Å³ per atom) = 18.104
- crystal system = tetragonal
- energy above the lowest structure with this stoichiometry (meV/atom) = 0.0
- total magnetization (μB per cell) = 4.5
- DOS at the Fermi energy (states/eV/cell) = 1.87


No. 6
Below is a relaxed SmErSc2 crystal, with properties calculated at the PBE-GGA level.

a = 3.432 Å, b = 3.432 Å, c = 11.660 Å
α = 72.92°, β = 72.92°, γ = 60.01°
Sites, in units of the cell vectors:
Sc: 0.002 0.002 0.747
Sc: 0.998 0.998 0.253
Er: 0.500 0.500 0.500
Sm: 0.500 0.500 0.000

Properties
- calculated volume (Å³ per atom) = 27.976
- crystal system = trigonal
- energy above the lowest structure with this stoichiometry (meV/atom) = 13.4
- total magnetization (μB per cell) = 0.0
- DOS at the Fermi energy (states/eV/cell) = 5.73


Question: Which formula does entry 6 have?
Answer: SmErSc2


Question: Which of these has the lowest DOS at the Fermi energy?
Answer: MnAlAu5


Question: What is the formula in the fifth record?
Answer: MnAlAu5